A plane-wave DFT calculation with PBE-GGA was carried out for an optimized crystal structure of NaLiSnIr.

Cell: 6.5211 6.5211 6.5211 Å, 90.00 90.00 90.00°
Closest atoms and distances in Å follow each position.
Space group F-43m (No. 216)
One atom of each set of equivalent atoms:
Na1 0.0000 0.0000 0.0000 [4 per cell]  4 Li 2.82, 4 Ir 2.82
Li1 0.2500 0.2500 0.7500 [4 per cell]  4 Sn 2.82, 4 Na 2.82
Sn1 0.0000 0.0000 0.5000 [4 per cell]  4 Ir 2.82, 4 Li 2.82
Ir1 0.2500 0.2500 0.2500 [4 per cell]  4 Sn 2.82, 4 Na 2.82

Results
- DOS(E_F) (states/eV/cell) = 5.5
- electronic total energy (eV/atom) = -4.1720
- formation enthalpy at 0 K (eV/atom) = -0.1478

---

A plane-wave DFT calculation with PBE-GGA was carried out for an optimized crystal structure of CuBSe2.

Cell: 3.4713 4.3397 6.2309 Å, 91.75 95.06 99.27°
Closest atoms and distances in Å follow each position.
Space group P1 (No. 1)
One atom of each set of equivalent atoms:
Cu1 0.0000 0.0000 0.0000 [1 per cell]  1 B 2.11, 2 Se 2.35
B1 0.6667 0.5912 0.1059 [1 per cell]  3 Se 1.97-2.12, 1 Cu 2.11
Se1 0.2100 0.7015 0.2829 [1 per cell]  2 B 2.08-2.12
Se2 0.5523 0.3045 0.8478 [1 per cell]  1 B 1.97

Results
- DOS(E_F) (states/eV/cell) = 0.0
- electronic total energy (eV/atom) = -4.4429

---

A plane-wave DFT calculation with PBE-GGA was carried out for an optimized crystal structure of CaIn2FeB.

Cell: 4.9315 4.9315 5.0692 Å, 90.00 90.00 90.00°
Closest atoms and distances in Å follow each position.
Space group P4/mmm (No. 123)
One atom of each set of equivalent atoms:
Ca1 0.0000 0.0000 0.0000 [1 per cell]  2 Fe 2.53
In1 0.0000 0.5000 0.5000 [2 per cell]  2 Fe 2.47
Fe1 0.0000 0.0000 0.5000 [1 per cell]  4 In 2.47, 2 Ca 2.53
B1 0.5000 0.5000 0.0000 [1 per cell]  4 Ca 3.49, 8 In 3.54

Results
- DOS(E_F) (states/eV/cell) = 6.8
- electronic total energy (eV/atom) = -3.5211
- formation enthalpy at 0 K (eV/atom) = 1.0026